Ca2Mo3O8 (PBE+U, optimized geometry); M_tot = 6.000 Bohr magnetons per cell; electronic total energy = -7.14 eV/atom; calculated density = 4.55 g cm⁻³
1.0
5.684 -3.127 0.000
5.684 3.127 0.000
-1.863 0.000 5.096
Ca Mo O
2 3 8
direct
0.223 0.223 0.159 Ca
0.777 0.777 0.841 Ca
0.238 0.762 0.500 Mo
0.500 0.500 0.000 Mo
0.762 0.238 0.500 Mo
0.112 0.112 0.448 O
0.168 0.619 0.103 O
0.381 0.832 0.897 O
0.399 0.399 0.583 O
0.601 0.601 0.417 O
0.619 0.168 0.103 O
0.832 0.381 0.897 O
0.888 0.888 0.552 O